[1]
TlHgPb2, relaxed, DFT GGA-PBEsol; crystal system = trigonal; electronic total energy = -2.792 eV/atom; SG = R-3m, No. 166; density of states at the Fermi level = 1.60 states/eV/cell; energy of formation from the pure elements = 3 kJ/mol of formula units
1.0
3.4348 0.0000 0.0000
1.7174 2.9747 0.0000
1.7174 0.9916 10.8025
Pb Hg Tl
2 1 1
direct
0.2540 0.2540 0.2380
0.7460 0.7460 0.7620
0.0000 0.0000 0.0000
0.5000 0.5000 0.5000

***

[2]
WSe2F2, relaxed, DFT GGA-PBEsol; uncorrected formation energy = -1.76 eV/f.u.; crystal system = tetragonal; electronic total energy = -5.425 eV/atom; SG = I4/mmm, No. 139; density of states at the Fermi level = 1.91 states/eV/cell
1.0
3.2347 0.0000 0.0000
0.0000 3.2347 0.0000
-1.6173 -1.6173 6.3438
F W Se
2 1 2
direct
0.7500 0.2500 0.5000
0.2500 0.7500 0.5000
0.0000 0.0000 0.0000
0.3869 0.3869 0.7737
0.6131 0.6131 0.2263

***

[3]
Cd2GaIr2, relaxed, DFT GGA-PBEsol; crystal system = tetragonal; electronic total energy = -5.194 eV/atom; SG = P4/mbm, No. 127; density of states at the Fermi level = 1.91 states/eV/cell; energy of formation from the pure elements = -57 kJ/mol of formula units
1.0
4.3191 0.0000 0.0000
0.0000 6.3303 0.0000
0.0000 0.0000 6.3303
Cd Ga Ir
4 2 4
direct
0.5000 0.8355 0.3355
0.5000 0.3355 0.1645
0.5000 0.1645 0.6645
0.5000 0.6645 0.8355
0.0000 0.5000 0.5000
0.0000 0.0000 0.0000
0.0000 0.3592 0.8592
0.0000 0.8592 0.6408
0.0000 0.1408 0.3592
0.0000 0.6408 0.1408

***

[4]
CaLaTiPb2, relaxed, DFT GGA-PBEsol; crystal system = tetragonal; electronic total energy = -4.069 eV/atom; SG = P4/mmm, No. 123; density of states at the Fermi level = 7.06 states/eV/cell; energy of formation from the pure elements = 333 kJ/mol of formula units
1.0
-5.0001 -0.0984 0.2443
0.2011 -5.6987 1.8202
0.2423 1.8275 5.6947
Pb Ti La Ca
2 1 1 1
direct
0.0000 0.5000 0.0000
0.0000 0.0000 0.5000
0.5000 0.0000 0.0000
0.0000 0.0000 0.0000
0.5000 0.5000 0.5000

***

[5]
Ti5CuSn3, relaxed, DFT GGA-PBEsol; crystal system = hexagonal; electronic total energy = -6.929 eV/atom; SG = P6_3/mcm, No. 193; density of states at the Fermi level = 18.72 states/eV/cell; energy of formation from the pure elements = -351 kJ/mol of formula units
1.0
-4.1108 -3.5383 0.7277
-0.1926 -1.4181 -7.9828
4.7295 -4.5063 4.8061
Sn Ti Cu
6 10 2
direct
0.2500 0.3840 0.3840
0.7500 0.0000 0.3840
0.2500 0.0000 0.6160
0.7500 0.6160 0.6160
0.2500 0.6160 0.0000
0.7500 0.3840 0.0000
0.7500 0.2670 0.2670
0.5000 0.6667 0.3333
0.2500 0.0000 0.2670
0.7500 0.0000 0.7330
0.7500 0.7330 0.0000
0.2500 0.2670 0.0000
0.0000 0.3333 0.6667
0.2500 0.7330 0.7330
0.5000 0.3333 0.6667
0.0000 0.6667 0.3333
0.0000 0.0000 0.0000
0.5000 0.0000 0.0000

***

[6]
CdCuReSe2, relaxed, DFT GGA-PBEsol; uncorrected formation energy = 4.03 eV/f.u.; crystal system = tetragonal; electronic total energy = -4.507 eV/atom; SG = P4/mmm, No. 123; density of states at the Fermi level = 3.98 states/eV/cell
1.0
4.6853 0.0000 0.0000
0.0000 4.6853 0.0000
0.0000 0.0000 5.3651
Cd Se Cu Re
1 2 1 1
direct
0.0000 0.0000 0.5000
0.5000 0.0000 0.0000
0.0000 0.5000 0.0000
0.5000 0.5000 0.5000
0.0000 0.0000 0.0000